## FeTe2MoI (SCAN)

Data for a PBEsol-optimized structure of FeTe2MoI.

Lattice parameters (Å, degrees): 4.922 4.922 5.285 90.00 90.00 90.00
Element x y z (fractional)
Te 0.500 0.000 0.000
I 0.000 0.000 0.500
Te 0.000 0.500 0.000
Fe 0.000 0.000 0.000
Mo 0.500 0.500 0.500

E_tot = -159.3 eV per cell
Symmetry = P4/mmm, No. 123
Raw formation energy = 4.981 eV per formula unit